{"formula": "Al3Zn4", "functional": "PBEsol", "state": "relaxed", "n_ef_per_ev_atom": 0.33, "delta_e_f_mev_per_atom": 74, "sg": "I4/mmm, No. 139", "lattice_angstrom": [[3.504, 0.000, 0.000], [0.000, 3.504, 0.000], [-1.752, -1.752, 8.939]], "species": ["Zn", "Zn", "Zn", "Zn", "Al", "Al", "Al"], "frac_coords": [[0.142, 0.142, 0.285], [0.571, 0.571, 0.142], [0.858, 0.858, 0.715], [0.429, 0.429, 0.858], [0.713, 0.713, 0.426], [0.287, 0.287, 0.574], [0.000, 0.000, 0.000]]}

=====

{"formula": "ZnAg2Sb", "functional": "PBEsol", "state": "relaxed", "dft_energy_ev_per_cell": -12.4, "n_ef_per_ev_atom": 0.38, "sg": "I4/mmm, No. 139", "lattice_angstrom": [[4.145, 0.000, 0.000], [0.000, 4.145, 0.000], [-2.073, -2.073, 4.244]], "species": ["Sb", "Ag", "Ag", "Zn"], "frac_coords": [[0.500, 0.500, 0.000], [0.750, 0.250, 0.500], [0.250, 0.750, 0.500], [0.000, 0.000, 0.000]]}

=====

{"formula": "MnCu2Ag", "functional": "PBEsol", "state": "relaxed", "n_ef_per_ev_atom": 0.47, "delta_e_f_mev_per_atom": 208, "sg": "P4/mmm, No. 123", "lattice_angstrom": [[-0.362, -2.593, -0.892], [2.064, 0.334, -1.810], [4.506, -2.254, 4.722]], "species": ["Cu", "Cu", "Mn", "Ag"], "frac_coords": [[0.000, 0.000, 0.233], [0.000, 0.000, 0.767], [0.500, 0.500, 0.000], [0.500, 0.500, 0.500]]}

=====

Repeat the third record exactly.
{"formula": "MnCu2Ag", "functional": "PBEsol", "state": "relaxed", "n_ef_per_ev_atom": 0.47, "delta_e_f_mev_per_atom": 208, "sg": "P4/mmm, No. 123", "lattice_angstrom": [[-0.362, -2.593, -0.892], [2.064, 0.334, -1.810], [4.506, -2.254, 4.722]], "species": ["Cu", "Cu", "Mn", "Ag"], "frac_coords": [[0.000, 0.000, 0.233], [0.000, 0.000, 0.767], [0.500, 0.500, 0.000], [0.500, 0.500, 0.500]]}